Material: NdDy2Ho2Er
Method: DFT, PBE
State: relaxed

Properties
Volume   387.2 Å³/cell
Fermi-level density of states   18.3 states/eV/cell
ΔE_f   0.110 eV per atom
Density   8.289 g cm⁻³
Space group   No. 58
Uncorrected energy   -54.07 eV/cell

abc: 6.0562 18.1544 3.5217
angles: 90.00 90.00 90.00
Atoms (fractional coordinates):
Nd (0.0000, 0.0000, 0.0000)
Nd (0.5000, 0.5000, 0.5000)
Dy (0.1655, 0.3428, 0.5000)
Dy (0.3345, 0.8428, 0.0000)
Dy (0.6655, 0.1572, 0.0000)
Dy (0.8345, 0.6572, 0.5000)
Ho (0.1659, 0.1575, 0.5000)
Ho (0.3341, 0.6575, 0.0000)
Ho (0.6659, 0.3425, 0.0000)
Ho (0.8341, 0.8425, 0.5000)
Er (0.0000, 0.5000, 0.0000)
Er (0.5000, 0.0000, 0.5000)

=====

Material: KMnRe
Method: DFT, PBE
State: relaxed

Properties
Volume   269.7 Å³/cell
Fermi-level density of states   12.7 states/eV/cell
ΔE_f   2.022 eV per atom
Density   6.903 g cm⁻³
Space group   No. 216
Uncorrected energy   -66.60 eV/cell

abc: 6.4606 6.4606 6.4606
angles: 90.00 90.00 90.00
Atoms (fractional coordinates):
K (0.0000, 0.0000, 0.0000)
K (0.0000, 0.5000, 0.5000)
K (0.5000, 0.0000, 0.5000)
K (0.5000, 0.5000, 0.0000)
Mn (0.2500, 0.2500, 0.2500)
Mn (0.2500, 0.7500, 0.7500)
Mn (0.7500, 0.2500, 0.7500)
Mn (0.7500, 0.7500, 0.2500)
Re (0.0000, 0.0000, 0.5000)
Re (0.0000, 0.5000, 0.0000)
Re (0.5000, 0.0000, 0.0000)
Re (0.5000, 0.5000, 0.5000)

=====

Material: K2Te2HAu
Method: DFT, PBE
State: relaxed

Properties
Volume   351.5 Å³/cell
Fermi-level density of states   7.4 states/eV/cell
Density   5.020 g cm⁻³
Space group   No. 72
Uncorrected energy   -33.12 eV/cell

abc: 8.6688 8.6688 8.6688
angles: 130.75 70.13 133.40
Atoms (fractional coordinates):
K (0.1548, 0.2210, 0.3759)
K (0.3452, 0.7210, 0.0662)
K (0.6548, 0.2790, 0.9338)
K (0.8452, 0.7790, 0.6241)
Te (0.0884, 0.7611, 0.8495)
Te (0.4116, 0.2611, 0.6727)
Te (0.5884, 0.7389, 0.3273)
Te (0.9116, 0.2389, 0.1505)
H (0.2500, 0.2500, 0.0000)
H (0.7500, 0.7500, 0.0000)
Au (0.2500, 0.7500, 0.5000)
Au (0.7500, 0.2500, 0.5000)

=====

Material: InRh2Au
Method: DFT, PBE
State: relaxed

Properties
Volume   133.7 Å³/cell
Fermi-level density of states   8.8 states/eV/cell
ΔE_f   -0.031 eV per atom
Density   12.856 g cm⁻³
Space group   No. 44
Uncorrected energy   -41.68 eV/cell

abc: 2.9908 4.7003 9.5111
angles: 90.00 90.00 90.00
Atoms (fractional coordinates):
In (0.0000, 0.0000, 0.0000)
In (0.5000, 0.5000, 0.5000)
Rh (0.0000, 0.0000, 0.5164)
Rh (0.0000, 0.5000, 0.2540)
Rh (0.5000, 0.0000, 0.7540)
Rh (0.5000, 0.5000, 0.0164)
Au (0.0000, 0.5000, 0.7591)
Au (0.5000, 0.0000, 0.2591)

=====

Material: CsGe3Cl12
Method: DFT, PBE
State: relaxed

Properties
Volume   1324.5 Å³/cell
Energy relative to the elements, uncorrected   -15.57 eV/f.u.
Fermi-level density of states   18.2 states/eV/cell
Density   1.946 g cm⁻³
Space group   No. 176
Uncorrected energy   -104.87 eV/cell

abc: 13.0840 13.0840 8.9339
angles: 90.00 90.00 120.00
Atoms (fractional coordinates):
Cs (0.3333, 0.6667, 0.2500)
Cs (0.6667, 0.3333, 0.7500)
Ge (0.1015, 0.7233, 0.7500)
Ge (0.2767, 0.3781, 0.7500)
Ge (0.3781, 0.1015, 0.2500)
Ge (0.6219, 0.8985, 0.7500)
Ge (0.7233, 0.6219, 0.2500)
Ge (0.8985, 0.2767, 0.2500)
Cl (0.0038, 0.1908, 0.2500)
Cl (0.0102, 0.4707, 0.2500)
Cl (0.1870, 0.9962, 0.2500)
Cl (0.1908, 0.1870, 0.7500)
Cl (0.2149, 0.7780, 0.5499)
Cl (0.2149, 0.7780, 0.9501)
Cl (0.2220, 0.4369, 0.5499)
Cl (0.2220, 0.4369, 0.9501)
Cl (0.4369, 0.2149, 0.0499)
Cl (0.4369, 0.2149, 0.4501)
Cl (0.4605, 0.9898, 0.2500)
Cl (0.4707, 0.4605, 0.7500)
Cl (0.5293, 0.5395, 0.2500)
Cl (0.5395, 0.0102, 0.7500)
Cl (0.5631, 0.7851, 0.5499)
Cl (0.5631, 0.7851, 0.9501)
Cl (0.7780, 0.5631, 0.0499)
Cl (0.7780, 0.5631, 0.4501)
Cl (0.7851, 0.2220, 0.0499)
Cl (0.7851, 0.2220, 0.4501)
Cl (0.8092, 0.8130, 0.2500)
Cl (0.8130, 0.0038, 0.7500)
Cl (0.9898, 0.5293, 0.7500)
Cl (0.9962, 0.8092, 0.7500)

=====

Material: Re2NiHg
Method: DFT, PBE
State: relaxed

Properties
Volume   247.3 Å³/cell
Fermi-level density of states   20.2 states/eV/cell
ΔE_f   0.701 eV per atom
Density   16.964 g cm⁻³
Space group   No. 216
Uncorrected energy   -112.70 eV/cell

abc: 6.2771 6.2771 6.2771
angles: 90.00 90.00 90.00
Atoms (fractional coordinates):
Re (0.0000, 0.0000, 0.0000)
Re (0.0000, 0.5000, 0.5000)
Re (0.2500, 0.2500, 0.2500)
Re (0.2500, 0.7500, 0.7500)
Re (0.5000, 0.0000, 0.5000)
Re (0.5000, 0.5000, 0.0000)
Re (0.7500, 0.2500, 0.7500)
Re (0.7500, 0.7500, 0.2500)
Ni (0.2500, 0.2500, 0.7500)
Ni (0.2500, 0.7500, 0.2500)
Ni (0.7500, 0.2500, 0.2500)
Ni (0.7500, 0.7500, 0.7500)
Hg (0.0000, 0.0000, 0.5000)
Hg (0.0000, 0.5000, 0.0000)
Hg (0.5000, 0.0000, 0.0000)
Hg (0.5000, 0.5000, 0.5000)